1.
A relaxed BaIr2Ru crystal. Source: the Alexandria database, functional PBE.

abc: 2.9762 4.9305 5.1660
angles: 90.00 90.00 90.00
Closest atoms and distances in Å follow each position.
Atoms (fractional coordinates):
Ba (0.0000, 0.0000, 0.0000)  4 Ru 2.88, 2 Ba 2.98, 4 Ir 2.98
Ir (0.0000, 0.5000, 0.5000)  6 Ir 2.88-2.98, 4 Ru 2.98
Ir (0.5000, 0.0000, 0.5000)  6 Ir 2.88-2.98, 4 Ba 2.98
Ru (0.5000, 0.5000, 0.0000)  4 Ba 2.88, 2 Ru 2.98, 4 Ir 2.98

Results
As for the space group: Pmmm. Its energy above the lowest structure with this stoichiometry is 0.909 eV per atom.

2.
A relaxed BaIrRu2 crystal. Source: the Alexandria database, functional PBE.

abc: 6.3022 6.3022 6.3022
angles: 41.05 41.05 41.05
Closest atoms and distances in Å follow each position.
Atoms (fractional coordinates):
Ba (0.0000, 0.0000, 0.0000)  2 Ru 3.19
Ir (0.5000, 0.5000, 0.5000)  6 Ru 2.57
Ru (0.1847, 0.1847, 0.1847)  3 Ir 2.57, 3 Ru 2.63
Ru (0.8153, 0.8153, 0.8153)  3 Ir 2.57, 3 Ru 2.63

Results
As for the space group: R-3m. Its energy above the lowest structure with this stoichiometry is 0.013 eV per atom.

3.
A relaxed BaIrRu2 crystal. Source: the Alexandria database, functional PBE.

abc: 2.9909 4.9240 5.1912
angles: 90.00 90.00 90.00
Closest atoms and distances in Å follow each position.
Atoms (fractional coordinates):
Ba (0.0000, 0.0000, 0.0000)  4 Ru 2.88, 2 Ba 2.99, 4 Ir 3.00
Ir (0.5000, 0.0000, 0.5000)  4 Ru 2.88, 2 Ir 2.99, 4 Ba 3.00
Ru (0.0000, 0.5000, 0.5000)  4 Ir 2.88, 6 Ru 2.99-3.00
Ru (0.5000, 0.5000, 0.0000)  4 Ba 2.88, 6 Ru 2.99-3.00

Results
As for the space group: Pmmm. Its energy above the lowest structure with this stoichiometry is 0.858 eV per atom.

4.
A relaxed BaIr2Ru crystal. Source: the Alexandria database, functional PBE.

abc: 6.2803 6.2803 6.2803
angles: 41.55 41.55 41.55
Closest atoms and distances in Å follow each position.
Atoms (fractional coordinates):
Ba (0.0000, 0.0000, 0.0000)  1 Ru 3.12, 1 Ir 3.16
Ir (0.4986, 0.4986, 0.4986)  3 Ir 2.59, 3 Ru 2.59
Ir (0.8161, 0.8161, 0.8161)  3 Ir 2.59, 3 Ru 2.63
Ru (0.1815, 0.1815, 0.1815)  6 Ir 2.59-2.63

Results
As for the space group: R3m. Its energy above the lowest structure with this stoichiometry is 0.007 eV per atom.